# 1
# LaPrNi2 (GGA-PBE, relaxed)
# E_tot, eV/atom: -5.1328
data_LaPrNi2
_cell_length_a 5.403
_cell_length_b 3.548
_cell_length_c 10.172
_cell_angle_alpha 90.00
_cell_angle_beta 90.00
_cell_angle_gamma 90.00
_space_group_name_H-M_alt 'A m m 2'
_space_group_IT_number 38
loop_
_space_group_symop_operation_xyz
'x,y,z'
'-x,-y,z'
'-x,y,z'
'x,-y,z'
'x,y+1/2,z+1/2'
'-x,-y+1/2,z+1/2'
'-x,y+1/2,z+1/2'
'x,-y+1/2,z+1/2'
loop_
_atom_site_label
_atom_site_type_symbol
_atom_site_fract_x
_atom_site_fract_y
_atom_site_fract_z
La1 La 0.000 0.000 0.000
Pr1 Pr 0.500 0.000 0.287
Ni1 Ni 0.000 0.000 0.282
Ni2 Ni 0.500 0.000 0.005

***

# 2
# Nd2PBrF (GGA-PBE, relaxed)
# E_tot, eV/atom: -5.9214
data_Nd2PBrF
_cell_length_a 4.0392
_cell_length_b 4.0392
_cell_length_c 8.5599
_cell_angle_alpha 90.00
_cell_angle_beta 90.00
_cell_angle_gamma 120.00
_space_group_name_H-M_alt 'P 3 m 1'
_space_group_IT_number 156
loop_
_space_group_symop_operation_xyz
'x,y,z'
'-y,x-y,z'
'-x+y,-x,z'
'-y,-x,z'
'-x+y,y,z'
'x,x-y,z'
loop_
_atom_site_label
_atom_site_type_symbol
_atom_site_fract_x
_atom_site_fract_y
_atom_site_fract_z
Nd1 Nd 0.0000 0.0000 0.0000
Nd2 Nd 0.3333 0.6667 0.6163
P1 P 0.6667 0.3333 0.8113
Br1 Br 0.3333 0.6667 0.2307
F1 F 0.0000 0.0000 0.5132

***

# 3
# Li4SiSnIr2 (GGA-PBE, relaxed)
# E_tot, eV/atom: -4.8143
data_Li4SiSnIr2
_cell_length_a 4.215
_cell_length_b 4.215
_cell_length_c 6.155
_cell_angle_alpha 90.00
_cell_angle_beta 90.00
_cell_angle_gamma 90.00
_space_group_name_H-M_alt 'P -4 m 2'
_space_group_IT_number 115
loop_
_space_group_symop_operation_xyz
'x,y,z'
'y,-x,-z'
'-x,-y,z'
'-y,x,-z'
'-x,y,z'
'-y,-x,-z'
'x,-y,z'
'y,x,-z'
loop_
_atom_site_label
_atom_site_type_symbol
_atom_site_fract_x
_atom_site_fract_y
_atom_site_fract_z
Li1 Li 0.000 0.000 0.000
Li2 Li 0.000 0.500 0.730
Li3 Li 0.500 0.500 0.500
Si1 Si 0.000 0.000 0.500
Sn1 Sn 0.500 0.500 0.000
Ir1 Ir 0.000 0.500 0.281

***

# 4
# BaScTe2AuSe (GGA-PBE, relaxed)
# E_tot, eV/atom: -4.7295
data_BaScTe2AuSe
_cell_length_a 4.245
_cell_length_b 14.904
_cell_length_c 10.749
_cell_angle_alpha 90.00
_cell_angle_beta 90.00
_cell_angle_gamma 90.00
_space_group_name_H-M_alt 'C m c m'
_space_group_IT_number 63
_space_group_name_Hall '-C 2c 2'
loop_
_atom_site_label
_atom_site_type_symbol
_atom_site_fract_x
_atom_site_fract_y
_atom_site_fract_z
Ba1 Ba 0.000 0.247 0.250
Sc1 Sc 0.000 0.500 0.000
Te1 Te 0.000 0.137 0.541
Au1 Au 0.000 0.033 0.750
Se1 Se 0.000 0.427 0.750

***

Question: What is the E_tot in the first record?
Answer: -5.1328 eV/atom